--- A ---
This record from Alexandria describes an optimized crystal structure of SrIrS2Cl. The functional is GGA-PBE.

Geometry as POSCAR:
```
SrIrS2Cl
1.0
5.581 0.000 0.000
0.000 5.581 0.000
0.000 0.000 5.313
Sr Ir S Cl
1 1 2 1
Cartesian
0.000 0.000 0.000 Sr
2.790 2.790 2.657 Ir
0.000 2.790 0.000 S
2.790 0.000 0.000 S
0.000 0.000 2.657 Cl
```

## Properties
**DOS(E_F)**: 10.0 states/eV/cell

--- B ---
This record from Alexandria describes an optimized crystal structure of SrIrS2Cl. The functional is GGA-PBE.

Geometry as POSCAR:
```
SrIrS2Cl
1.0
4.731 0.000 0.000
0.000 4.731 0.000
0.000 0.000 4.964
Sr Ir S Cl
1 1 2 1
Cartesian
0.000 0.000 0.000 Sr
2.365 2.365 2.482 Ir
0.000 2.365 2.482 S
2.365 0.000 2.482 S
2.365 2.365 0.000 Cl
```

## Properties
**DOS(E_F)**: 5.2 states/eV/cell

The energy of each structure relative to the most stable one, in kJ/mol of atoms, is as follows: A 158.6; B 0.0.